Entry 1:
Material: Ca2Ga3SnRh4
Method: DFT, PBE
State: optimized geometry

The formation energy is -64.6 kJ per mole of atoms. For the total magnetic moment, the calculation gives 0.0000 μB per atom.

```
data_Ca2Ga3SnRh4
_space_group_name_H-M_alt 'P -4 m 2'
_space_group_IT_number 115
_cell_length_a 4.3838
_cell_length_b 4.3838
_cell_length_c 10.0905
_cell_angle_alpha 90.00
_cell_angle_beta 90.00
_cell_angle_gamma 90.00
loop_
_space_group_symop_operation_xyz
'x,y,z'
'y,-x,-z'
'-x,-y,z'
'-y,x,-z'
'-x,y,z'
'-y,-x,-z'
'x,-y,z'
'y,x,-z'
loop_
_atom_site_label
_atom_site_fract_x
_atom_site_fract_y
_atom_site_fract_z
_atom_site_occupancy
Ca1 0.0000 0.5000 0.2290 1
Ga1 0.0000 0.5000 0.8825 1
Ga2 0.5000 0.5000 0.5000 1
Sn1 0.0000 0.0000 0.5000 1
Rh1 0.0000 0.0000 0.0000 1
Rh2 0.0000 0.5000 0.6376 1
Rh3 0.5000 0.5000 0.0000 1
```

Entry 2:
Material: SrCaGaRh
Method: DFT, PBE
State: optimized geometry

The formation energy is -48.1 kJ per mole of atoms. For the total magnetic moment, the calculation gives 0.0000 μB per atom.

```
data_SrCaGaRh
_space_group_name_H-M_alt 'R 3 m'
_space_group_IT_number 160
_space_group_name_Hall 'R 3 -2"'
_cell_length_a 4.3055
_cell_length_b 4.3055
_cell_length_c 22.9448
_cell_angle_alpha 90.00
_cell_angle_beta 90.00
_cell_angle_gamma 120.00
loop_
_atom_site_label
_atom_site_fract_x
_atom_site_fract_y
_atom_site_fract_z
_atom_site_occupancy
Sr1 0.0000 0.0000 0.0000 1
Ca1 0.0000 0.0000 0.8250 1
Ga1 0.0000 0.0000 0.2398 1
Rh1 0.0000 0.0000 0.5738 1
```

Entry 3:
Material: Sr2CaGaRh
Method: DFT, PBE
State: optimized geometry

The formation energy is -18.2 kJ per mole of atoms. For the total magnetic moment, the calculation gives 0.0000 μB per atom.

```
data_Sr2CaGaRh
_space_group_name_H-M_alt 'P 4/m m m'
_space_group_IT_number 123
_space_group_name_Hall '-P 4 2'
_cell_length_a 5.8619
_cell_length_b 5.8619
_cell_length_c 4.9329
_cell_angle_alpha 90.00
_cell_angle_beta 90.00
_cell_angle_gamma 90.00
loop_
_atom_site_label
_atom_site_fract_x
_atom_site_fract_y
_atom_site_fract_z
_atom_site_occupancy
Sr1 0.0000 0.5000 0.0000 1
Ca1 0.0000 0.0000 0.5000 1
Ga1 0.5000 0.5000 0.5000 1
Rh1 0.5000 0.5000 0.0000 1
```

Entry 4:
Material: CaTbGa2Rh2
Method: DFT, PBE
State: optimized geometry

The formation energy is -69.3 kJ per mole of atoms. For the total magnetic moment, the calculation gives 0.0000 μB per atom.

```
data_CaTbGa2Rh2
_space_group_name_H-M_alt 'P -3 m 1'
_space_group_IT_number 164
_space_group_name_Hall '-P 3 2"'
_cell_length_a 4.3172
_cell_length_b 4.3172
_cell_length_c 7.6906
_cell_angle_alpha 90.00
_cell_angle_beta 90.00
_cell_angle_gamma 120.00
loop_
_atom_site_label
_atom_site_fract_x
_atom_site_fract_y
_atom_site_fract_z
_atom_site_occupancy
Ca1 0.0000 0.0000 0.0000 1
Tb1 0.0000 0.0000 0.5000 1
Ga1 0.3333 0.6667 0.2590 1
Rh1 0.3333 0.6667 0.7200 1
```